Material: Ac4Sm2Y5
Method: DFT, GGA-PBE
State: relaxed

a b c (Å): 9.829 9.829 8.261
angles (deg): 103.12 103.12 31.47
Sites, in units of the cell vectors:
Ac1 0.043 0.043 0.229
Ac2 0.318 0.318 0.589
Ac3 0.682 0.682 0.411
Ac4 0.957 0.957 0.771
Sm1 0.407 0.407 0.050
Sm2 0.593 0.593 0.950
Y1 0.139 0.139 0.693
Y2 0.226 0.226 0.125
Y3 0.500 0.500 0.500
Y4 0.774 0.774 0.875
Y5 0.861 0.861 0.307

Results
* ρ: 6.8 Mg/m³
* D(E_F): 16.78 states/eV per cell
* ΔH_f (0 K): 0.051 eV per atom
* space group: No. 12


Material: Ba2ZrRh
Method: DFT, GGA-PBE
State: relaxed

a b c (Å): 7.937 7.937 7.937
angles (deg): 90.00 90.00 90.00
Sites, in units of the cell vectors:
Ba1 0.250 0.250 0.250
Ba2 0.250 0.250 0.750
Ba3 0.250 0.750 0.250
Ba4 0.250 0.750 0.750
Ba5 0.750 0.250 0.250
Ba6 0.750 0.250 0.750
Ba7 0.750 0.750 0.250
Ba8 0.750 0.750 0.750
Zr1 0.000 0.000 0.000
Zr2 0.000 0.500 0.500
Zr3 0.500 0.000 0.500
Zr4 0.500 0.500 0.000
Rh1 0.000 0.000 0.500
Rh2 0.000 0.500 0.000
Rh3 0.500 0.000 0.000
Rh4 0.500 0.500 0.500

Results
* ρ: 6.2 Mg/m³
* D(E_F): 22.23 states/eV per cell
* ΔH_f (0 K): 0.699 eV per atom
* space group: No. 225
* energy above the most stable polymorph in this dataset: 0.760 eV per atom


Material: AcGe2Rh2
Method: DFT, GGA-PBE
State: relaxed

a b c (Å): 4.266 4.266 10.972
angles (deg): 90.00 90.00 90.00
Sites, in units of the cell vectors:
Ac1 0.000 0.000 0.000
Ac2 0.500 0.500 0.500
Ge1 0.000 0.000 0.368
Ge2 0.000 0.000 0.632
Ge3 0.500 0.500 0.132
Ge4 0.500 0.500 0.868
Rh1 0.000 0.500 0.250
Rh2 0.000 0.500 0.750
Rh3 0.500 0.000 0.250
Rh4 0.500 0.000 0.750

Results
* ρ: 9.6 Mg/m³
* D(E_F): 3.90 states/eV per cell
* ΔH_f (0 K): -0.859 eV per atom
* space group: No. 139
* energy above the most stable polymorph in this dataset: 0.000 eV per atom


Material: Pm2Sm4Sn3H2
Method: DFT, GGA-PBE
State: relaxed

a b c (Å): 13.209 13.209 13.209
angles (deg): 159.20 159.20 29.58
Sites, in units of the cell vectors:
Pm1 0.199 0.199 0.000
Pm2 0.801 0.801 0.000
Sm1 0.083 0.583 0.500
Sm2 0.417 0.917 0.500
Sm3 0.583 0.083 0.500
Sm4 0.917 0.417 0.500
Sn1 0.326 0.326 0.000
Sn2 0.500 0.500 0.000
Sn3 0.674 0.674 0.000
H1 0.102 0.102 0.000
H2 0.898 0.898 0.000

Results
* ρ: 7.1 Mg/m³
* D(E_F): 10.66 states/eV per cell
* final energy: -53.32 eV for the cell shown
* space group: No. 139


Material: ZrAs2Br
Method: DFT, GGA-PBE
State: relaxed

a b c (Å): 6.970 6.970 6.970
angles (deg): 90.00 90.00 90.00
Sites, in units of the cell vectors:
Zr1 0.000 0.000 0.000
Zr2 0.000 0.500 0.500
Zr3 0.500 0.000 0.500
Zr4 0.500 0.500 0.000
As1 0.250 0.250 0.250
As2 0.250 0.250 0.750
As3 0.250 0.750 0.250
As4 0.250 0.750 0.750
As5 0.750 0.250 0.250
As6 0.750 0.250 0.750
As7 0.750 0.750 0.250
As8 0.750 0.750 0.750
Br1 0.000 0.000 0.500
Br2 0.000 0.500 0.000
Br3 0.500 0.000 0.000
Br4 0.500 0.500 0.500

Results
* ρ: 6.3 Mg/m³
* D(E_F): 35.19 states/eV per cell
* raw formation energy: 0.193 eV/atom
* space group: No. 225
* energy above the most stable polymorph in this dataset: 0.815 eV per atom


Material: Cs2Zn2H
Method: DFT, GGA-PBE
State: relaxed

a b c (Å): 7.335 7.335 10.330
angles (deg): 90.00 90.00 90.00
Sites, in units of the cell vectors:
Cs1 0.000 0.500 0.250
Cs2 0.000 0.500 0.750
Cs3 0.500 0.000 0.250
Cs4 0.500 0.000 0.750
Zn1 0.000 0.000 0.178
Zn2 0.000 0.000 0.822
Zn3 0.500 0.500 0.322
Zn4 0.500 0.500 0.678
H1 0.000 0.000 0.000
H2 0.500 0.500 0.500

Results
* ρ: 2.4 Mg/m³
* D(E_F): 7.67 states/eV per cell
* final energy: -12.22 eV for the cell shown
* space group: No. 139


Material: Mn2TlFeAg
Method: DFT, GGA-PBE
State: relaxed

a b c (Å): 4.930 4.930 4.839
angles (deg): 90.00 90.00 90.00
Sites, in units of the cell vectors:
Mn1 0.000 0.500 0.000
Mn2 0.500 0.000 0.000
Tl1 0.000 0.000 0.500
Fe1 0.500 0.500 0.500
Ag1 0.500 0.500 0.000

Results
* ρ: 6.8 Mg/m³
* D(E_F): 5.14 states/eV per cell
* ΔH_f (0 K): 1.148 eV per atom
* space group: No. 123


Material: Hf3TiTl3Se8
Method: DFT, GGA-PBE
State: relaxed

a b c (Å): 7.457 7.457 9.522
angles (deg): 113.12 113.12 59.97
Sites, in units of the cell vectors:
Hf1 0.000 0.000 0.000
Hf2 0.000 0.500 0.000
Hf3 0.500 0.000 0.000
Ti1 0.500 0.500 0.000
Tl1 0.000 0.500 0.500
Tl2 0.500 0.000 0.500
Tl3 0.500 0.500 0.500
Se1 0.230 0.230 0.189
Se2 0.235 0.726 0.187
Se3 0.274 0.274 0.813
Se4 0.274 0.765 0.813
Se5 0.726 0.235 0.187
Se6 0.726 0.726 0.187
Se7 0.765 0.274 0.813
Se8 0.770 0.770 0.811

Results
* ρ: 7.4 Mg/m³
* D(E_F): 7.66 states/eV per cell
* raw formation energy: -1.025 eV/atom
* space group: No. 12


Material: PuTiNbMo
Method: DFT, GGA-PBE
State: relaxed

a b c (Å): 6.615 6.615 6.615
angles (deg): 90.00 90.00 90.00
Sites, in units of the cell vectors:
Pu1 0.000 0.000 0.000
Pu2 0.000 0.500 0.500
Pu3 0.500 0.000 0.500
Pu4 0.500 0.500 0.000
Ti1 0.250 0.250 0.750
Ti2 0.250 0.750 0.250
Ti3 0.750 0.250 0.250
Ti4 0.750 0.750 0.750
Nb1 0.250 0.250 0.250
Nb2 0.250 0.750 0.750
Nb3 0.750 0.250 0.750
Nb4 0.750 0.750 0.250
Mo1 0.000 0.000 0.500
Mo2 0.000 0.500 0.000
Mo3 0.500 0.000 0.000
Mo4 0.500 0.500 0.500

Results
* ρ: 11.0 Mg/m³
* D(E_F): 36.31 states/eV per cell
* ΔH_f (0 K): 0.172 eV per atom
* space group: No. 216


Material: CaIn2Au9
Method: DFT, GGA-PBE
State: relaxed

a b c (Å): 9.922 9.922 9.922
angles (deg): 32.71 32.71 32.71
Sites, in units of the cell vectors:
Ca1 0.000 0.000 0.000
In1 0.144 0.144 0.144
In2 0.856 0.856 0.856
Au1 0.082 0.585 0.585
Au2 0.333 0.333 0.333
Au3 0.415 0.415 0.918
Au4 0.415 0.918 0.415
Au5 0.500 0.500 0.500
Au6 0.585 0.082 0.585
Au7 0.585 0.585 0.082
Au8 0.667 0.667 0.667
Au9 0.918 0.415 0.415

Results
* ρ: 13.4 Mg/m³
* D(E_F): 2.57 states/eV per cell
* ΔH_f (0 K): -0.231 eV per atom
* space group: No. 166


Material: Fe2OsPb
Method: DFT, GGA-PBE
State: relaxed

a b c (Å): 3.982 3.982 7.790
angles (deg): 90.00 90.00 90.00
Sites, in units of the cell vectors:
Fe1 0.000 0.000 0.000
Fe2 0.000 0.500 0.250
Fe3 0.500 0.000 0.750
Fe4 0.500 0.500 0.500
Os1 0.000 0.500 0.750
Os2 0.500 0.000 0.250
Pb1 0.000 0.000 0.500
Pb2 0.500 0.500 0.000

Results
* ρ: 13.7 Mg/m³
* D(E_F): 7.15 states/eV per cell
* ΔH_f (0 K): 0.624 eV per atom
* space group: No. 119


Material: ErSi3Pd5
Method: DFT, GGA-PBE
State: relaxed

a b c (Å): 6.586 6.586 12.717
angles (deg): 90.00 90.00 146.32
Sites, in units of the cell vectors:
Er1 0.141 0.859 0.750
Er2 0.859 0.141 0.250
Si1 0.119 0.881 0.250
Si2 0.383 0.617 0.040
Si3 0.383 0.617 0.460
Si4 0.617 0.383 0.540
Si5 0.617 0.383 0.960
Si6 0.881 0.119 0.750
Pd1 0.000 0.000 0.000
Pd2 0.000 0.000 0.500
Pd3 0.206 0.794 0.078
Pd4 0.206 0.794 0.422
Pd5 0.453 0.547 0.647
Pd6 0.453 0.547 0.853
Pd7 0.547 0.453 0.147
Pd8 0.547 0.453 0.353
Pd9 0.794 0.206 0.578
Pd10 0.794 0.206 0.922

Results
* ρ: 8.5 Mg/m³
* D(E_F): 7.69 states/eV per cell
* raw formation energy: -0.681 eV/atom
* space group: No. 63